[1]
A plane-wave DFT calculation with GGA-PBE was carried out for crystalline Nb14PdPt at its relaxed geometry.

Results
E_form	-0.144	eV per atom
crystal system	orthorhombic
DOS at the Fermi energy	33.4	states/eV per cell
final energy	-9.658	eV/atom

Cell lengths 6.687, 9.361, 9.138 Å; angles 90.00, 90.00, 90.00 degrees
Space group Cmmm (No. 65)
Asymmetric unit:
Nb 0.000 0.000 0.000 x2
Nb 0.000 0.250 0.255 x8
Nb 0.000 0.500 0.000 x2
Nb 0.250 0.000 0.252 x8
Nb 0.250 0.250 0.000 x4
Nb 0.250 0.250 0.500 x4
Pd 0.000 0.000 0.500 x2
Pt 0.000 0.500 0.500 x2

---

[2]
A plane-wave DFT calculation with GGA-PBE was carried out for crystalline Ca5SbPt2 at its relaxed geometry.

Results
formation energy (no corrections)	-0.88	eV/atom
crystal system	tetragonal
DOS at the Fermi energy	19.6	states/eV per cell
final energy	-4.160	eV/atom

Cell lengths 7.839, 7.839, 14.478 Å; angles 90.00, 90.00, 90.00 degrees
Space group I4/mcm (No. 140)
Asymmetric unit:
Ca 0.000 0.000 0.000 x4
Ca 0.170 0.330 0.134 x16
Sb 0.000 0.000 0.250 x4
Pt 0.126 0.374 0.500 x8

---

[3]
A plane-wave DFT calculation with GGA-PBE was carried out for crystalline ScSiP2 at its relaxed geometry.

Results
formation energy (no corrections)	0.18	eV/atom
crystal system	cubic
DOS at the Fermi energy	14.9	states/eV per cell
final energy	-5.459	eV/atom

Cell lengths 6.464, 6.464, 6.464 Å; angles 90.00, 90.00, 90.00 degrees
Space group F-43m (No. 216)
Asymmetric unit:
Sc 0.000 0.000 0.000 x4
Si 0.250 0.250 0.750 x4
P 0.000 0.000 0.500 x4
P 0.250 0.250 0.250 x4